VASP calculation (PBE-GGA) on a relaxed structure of Cr2FeTc.

Cell and atoms, written as extended XYZ:
```
4
Lattice="2.974 0.000 0.000 0.000 4.085 0.000 0.000 0.000 4.089" Properties=species:S:1:pos:R:3 pbc="T T T"
Cr 0.000 0.000 0.000
Cr 1.487 2.042 0.000
Fe 0.000 2.042 2.045
Tc 1.487 0.000 2.045
```

Properties
As for the space group: No. 47. The calculation puts the energy at -37.67 eV/cell. The value obtained for the energy relative to the elements is 0.10 eV per atom.

=====

VASP calculation (PBE-GGA) on a relaxed structure of Sc4TaRu.

Cell and atoms, written as extended XYZ:
```
6
Lattice="0.000 3.908 3.908 3.908 0.000 3.908 3.908 3.908 0.000" Properties=species:S:1:pos:R:3 pbc="T T T"
Sc 0.974 0.974 0.974
Sc 2.934 2.934 0.974
Sc 2.934 0.974 2.934
Sc 0.974 2.934 2.934
Ta 5.862 5.862 5.862
Ru 3.908 3.908 3.908
```

Properties
As for the space group: No. 216. The calculation puts the energy at -42.97 eV/cell. The value obtained for the energy relative to the elements is 0.58 eV per atom.

=====

VASP calculation (PBE-GGA) on a relaxed structure of PmZrSb.

Cell and atoms, written as extended XYZ:
```
3
Lattice="-1.926 1.926 5.374 1.926 -1.926 5.374 1.926 1.926 -5.374" Properties=species:S:1:pos:R:3 pbc="T T T"
Pm 0.000 0.000 0.000
Zr 0.000 0.000 3.326
Sb 0.000 0.000 7.375
```

Properties
As for the space group: No. 107. The calculation puts the energy at -18.98 eV/cell. For the uncorrected formation energy, the calculation gives -150 kJ/mol of formula units.

=====

Question: Among the records above, which one has the lowest energy?
Answer: Sc4TaRu